This record from the Alexandria database describes a relaxed RePW2 crystal. The functional is GGA-PBE.

```
RePW2
1.0
3.838 0.000 0.000
0.000 3.838 0.000
0.000 0.000 17.743
Re P W
4 4 8
direct
0.000 0.000 0.000
0.000 0.500 0.250
0.500 0.000 0.750
0.500 0.500 0.500
0.000 0.000 0.500
0.000 0.500 0.750
0.500 0.000 0.250
0.500 0.500 0.000
0.222 0.250 0.625
0.250 0.722 0.875
0.250 0.778 0.375
0.278 0.250 0.125
0.722 0.750 0.125
0.750 0.222 0.375
0.750 0.278 0.875
0.778 0.750 0.625
```

## Properties
Energy of formation from the pure elements in eV per atom: 0.73
Calculated density in Mg/m³: 14.86